# GGA-PBE LaMgB, relaxed
# **Energy of formation**: 0.0 eV/f.u.
# **Crystal system**: triclinic
# **Theoretical density**: 4.50 Mg/m³
data_LaMgB
_chemical_formula_sum 'La2 Mg2 B2'
_cell_length_a 3.788
_cell_length_b 4.260
_cell_length_c 8.216
_cell_angle_alpha 84.73
_cell_angle_beta 76.95
_cell_angle_gamma 89.76
_symmetry_space_group_name_H-M 'P -1'
_symmetry_Int_Tables_number 2
loop_
_symmetry_equiv_pos_as_xyz
'x,y,z'
'-x,-y,-z'
loop_
_atom_site_label
_atom_site_type_symbol
_atom_site_fract_x
_atom_site_fract_y
_atom_site_fract_z
_atom_site_occupancy
La1 La 0.083 0.190 0.335 1
Mg1 Mg 0.302 0.276 0.899 1
B1 B 0.462 0.359 0.577 1

# GGA-PBE LaMgB, relaxed
# **Energy of formation**: 0.1 eV/f.u.
# **Crystal system**: orthorhombic
# **Theoretical density**: 4.30 Mg/m³
data_LaMgB
_chemical_formula_sum 'La4 Mg4 B4'
_cell_length_a 3.962
_cell_length_b 11.001
_cell_length_c 6.169
_cell_angle_alpha 90.00
_cell_angle_beta 90.00
_cell_angle_gamma 90.00
_symmetry_space_group_name_H-M 'I m m 2'
_symmetry_Int_Tables_number 44
loop_
_symmetry_equiv_pos_as_xyz
'x,y,z'
'-x,-y,z'
'-x,y,z'
'x,-y,z'
'x+1/2,y+1/2,z+1/2'
'-x+1/2,-y+1/2,z+1/2'
'-x+1/2,y+1/2,z+1/2'
'x+1/2,-y+1/2,z+1/2'
loop_
_atom_site_label
_atom_site_type_symbol
_atom_site_fract_x
_atom_site_fract_y
_atom_site_fract_z
_atom_site_occupancy
La1 La 0.000 0.222 0.000 1
Mg1 Mg 0.000 0.000 0.411 1
Mg2 Mg 0.000 0.500 0.310 1
B1 B 0.000 0.427 0.697 1

# GGA-PBE La3MgB, relaxed
# **Energy of formation**: 0.3 eV/f.u.
# **Crystal system**: cubic
# **Theoretical density**: 4.80 Mg/m³
data_La3MgB
_chemical_formula_sum 'La3 Mg1 B1'
_cell_length_a 5.388
_cell_length_b 5.388
_cell_length_c 5.388
_cell_angle_alpha 90.00
_cell_angle_beta 90.00
_cell_angle_gamma 90.00
_symmetry_space_group_name_H-M 'P m -3 m'
_symmetry_Int_Tables_number 221
_symmetry_space_group_name_Hall '-P 4 2 3'
loop_
_atom_site_label
_atom_site_type_symbol
_atom_site_fract_x
_atom_site_fract_y
_atom_site_fract_z
_atom_site_occupancy
La1 La 0.000 0.000 0.500 1
Mg1 Mg 0.500 0.500 0.500 1
B1 B 0.000 0.000 0.000 1

# GGA-PBE LaMgB, relaxed
# **Energy of formation**: 3.1 eV/f.u.
# **Crystal system**: cubic
# **Theoretical density**: 3.87 Mg/m³
data_LaMgB
_chemical_formula_sum 'La4 Mg4 B4'
_cell_length_a 6.687
_cell_length_b 6.687
_cell_length_c 6.687
_cell_angle_alpha 90.00
_cell_angle_beta 90.00
_cell_angle_gamma 90.00
_symmetry_space_group_name_H-M 'F -4 3 m'
_symmetry_Int_Tables_number 216
_symmetry_space_group_name_Hall 'F -4 2 3'
loop_
_atom_site_label
_atom_site_type_symbol
_atom_site_fract_x
_atom_site_fract_y
_atom_site_fract_z
_atom_site_occupancy
La1 La 0.000 0.000 0.000 1
Mg1 Mg 0.250 0.250 0.750 1
B1 B 0.250 0.250 0.250 1

# GGA-PBE LaMg14B, relaxed
# **Energy of formation**: 3.2 eV/f.u.
# **Crystal system**: hexagonal
# **Theoretical density**: 2.22 Mg/m³
data_LaMg14B
_chemical_formula_sum 'La1 Mg14 B1'
_cell_length_a 6.5186
_cell_length_b 6.5186
_cell_length_c 9.9685
_cell_angle_alpha 90.00
_cell_angle_beta 90.00
_cell_angle_gamma 120.00
_symmetry_space_group_name_H-M 'P -6 m 2'
_symmetry_Int_Tables_number 187
_symmetry_space_group_name_Hall 'P -6 2'
loop_
_atom_site_label
_atom_site_type_symbol
_atom_site_fract_x
_atom_site_fract_y
_atom_site_fract_z
_atom_site_occupancy
La1 La 0.0000 0.0000 0.0000 1
Mg1 Mg 0.0204 0.5102 0.0000 1
Mg2 Mg 0.1584 0.3167 0.2792 1
Mg3 Mg 0.5091 0.0181 0.5000 1
Mg4 Mg 0.6667 0.3333 0.2370 1
B1 B 0.0000 0.0000 0.5000 1

# GGA-PBE LaMg14B, relaxed
# **Energy of formation**: 2.0 eV/f.u.
# **Crystal system**: orthorhombic
# **Theoretical density**: 2.19 Mg/m³
data_LaMg14B
_chemical_formula_sum 'La2 Mg28 B2'
_cell_length_a 10.375
_cell_length_b 6.078
_cell_length_c 11.756
_cell_angle_alpha 90.00
_cell_angle_beta 90.00
_cell_angle_gamma 90.00
_symmetry_space_group_name_H-M 'A m m 2'
_symmetry_Int_Tables_number 38
loop_
_symmetry_equiv_pos_as_xyz
'x,y,z'
'-x,-y,z'
'-x,y,z'
'x,-y,z'
'x,y+1/2,z+1/2'
'-x,-y+1/2,z+1/2'
'-x,y+1/2,z+1/2'
'x,-y+1/2,z+1/2'
loop_
_atom_site_label
_atom_site_type_symbol
_atom_site_fract_x
_atom_site_fract_y
_atom_site_fract_z
_atom_site_occupancy
La1 La 0.000 0.000 0.000 1
Mg1 Mg 0.000 0.232 0.263 1
Mg2 Mg 0.162 0.000 0.597 1
Mg3 Mg 0.254 0.250 0.384 1
Mg4 Mg 0.262 0.000 0.143 1
Mg5 Mg 0.500 0.000 0.489 1
Mg6 Mg 0.500 0.000 0.977 1
Mg7 Mg 0.500 0.246 0.730 1
B1 B 0.000 0.000 0.435 1

# GGA-PBE LaMgB, relaxed
# **Energy of formation**: -0.3 eV/f.u.
# **Crystal system**: monoclinic
# **Theoretical density**: 4.30 Mg/m³
data_LaMgB
_chemical_formula_sum 'La4 Mg4 B4'
_cell_length_a 10.713
_cell_length_b 3.201
_cell_length_c 7.851
_cell_angle_alpha 90.00
_cell_angle_beta 92.90
_cell_angle_gamma 90.00
_symmetry_space_group_name_H-M 'C 1 m 1'
_symmetry_Int_Tables_number 8
loop_
_symmetry_equiv_pos_as_xyz
'x,y,z'
'x,-y,z'
'x+1/2,y+1/2,z'
'x+1/2,-y+1/2,z'
loop_
_atom_site_label
_atom_site_type_symbol
_atom_site_fract_x
_atom_site_fract_y
_atom_site_fract_z
_atom_site_occupancy
La1 La 0.000 0.000 0.000 1
La2 La 0.231 0.000 0.663 1
Mg1 Mg 0.245 0.500 0.237 1
Mg2 Mg 0.485 0.000 0.403 1
B1 B 0.463 0.500 0.658 1
B2 B 0.495 0.000 0.705 1

# GGA-PBE LaMgB, relaxed
# **Energy of formation**: 0.5 eV/f.u.
# **Crystal system**: orthorhombic
# **Theoretical density**: 4.71 Mg/m³
data_LaMgB
_chemical_formula_sum 'La4 Mg4 B4'
_cell_length_a 8.113
_cell_length_b 4.603
_cell_length_c 6.578
_cell_angle_alpha 90.00
_cell_angle_beta 90.00
_cell_angle_gamma 90.00
_symmetry_space_group_name_H-M 'P n m a'
_symmetry_Int_Tables_number 62
loop_
_symmetry_equiv_pos_as_xyz
'x,y,z'
'-x,-y,-z'
'-x+1/2,-y,z+1/2'
'x+1/2,y,-z+1/2'
'x+1/2,-y+1/2,-z+1/2'
'-x+1/2,y+1/2,z+1/2'
'-x,y+1/2,-z'
'x,-y+1/2,z'
loop_
_atom_site_label
_atom_site_type_symbol
_atom_site_fract_x
_atom_site_fract_y
_atom_site_fract_z
_atom_site_occupancy
La1 La 0.066 0.250 0.207 1
Mg1 Mg 0.169 0.250 0.643 1
B1 B 0.160 0.750 0.444 1

# GGA-PBE LaMgB, relaxed
# **Energy of formation**: -0.2 eV/f.u.
# **Crystal system**: monoclinic
# **Theoretical density**: 4.53 Mg/m³
data_LaMgB
_chemical_formula_sum 'La2 Mg2 B2'
_cell_length_a 5.658
_cell_length_b 3.236
_cell_length_c 7.109
_cell_angle_alpha 90.00
_cell_angle_beta 101.53
_cell_angle_gamma 90.00
_symmetry_space_group_name_H-M 'P 1 m 1'
_symmetry_Int_Tables_number 6
loop_
_symmetry_equiv_pos_as_xyz
'x,y,z'
'x,-y,z'
loop_
_atom_site_label
_atom_site_type_symbol
_atom_site_fract_x
_atom_site_fract_y
_atom_site_fract_z
_atom_site_occupancy
La1 La 0.000 0.000 0.000 1
La2 La 0.107 0.000 0.516 1
Mg1 Mg 0.476 0.500 0.863 1
Mg2 Mg 0.566 0.500 0.300 1
B1 B 0.668 0.000 0.639 1
B2 B 0.742 0.500 0.643 1

# GGA-PBE LaMgB, relaxed
# **Energy of formation**: -0.3 eV/f.u.
# **Crystal system**: triclinic
# **Theoretical density**: 4.21 Mg/m³
data_LaMgB
_chemical_formula_sum 'La2 Mg2 B2'
_cell_length_a 3.179
_cell_length_b 4.096
_cell_length_c 11.488
_cell_angle_alpha 83.88
_cell_angle_beta 89.78
_cell_angle_gamma 67.38
_symmetry_space_group_name_H-M 'P -1'
_symmetry_Int_Tables_number 2
loop_
_symmetry_equiv_pos_as_xyz
'x,y,z'
'-x,-y,-z'
loop_
_atom_site_label
_atom_site_type_symbol
_atom_site_fract_x
_atom_site_fract_y
_atom_site_fract_z
_atom_site_occupancy
La1 La 0.023 0.448 0.160 1
Mg1 Mg 0.343 0.814 0.404 1
B1 B 0.282 0.938 0.001 1

# GGA-PBE LaMgB, relaxed
# **Energy of formation**: -0.2 eV/f.u.
# **Crystal system**: monoclinic
# **Theoretical density**: 4.41 Mg/m³
data_LaMgB
_chemical_formula_sum 'La2 Mg2 B2'
_cell_length_a 6.338
_cell_length_b 3.167
_cell_length_c 6.584
_cell_angle_alpha 90.00
_cell_angle_beta 97.84
_cell_angle_gamma 90.00
_symmetry_space_group_name_H-M 'P 1 21/m 1'
_symmetry_Int_Tables_number 11
loop_
_symmetry_equiv_pos_as_xyz
'x,y,z'
'-x,-y,-z'
'-x,y+1/2,-z'
'x,-y+1/2,z'
loop_
_atom_site_label
_atom_site_type_symbol
_atom_site_fract_x
_atom_site_fract_y
_atom_site_fract_z
_atom_site_occupancy
La1 La 0.227 0.250 0.355 1
Mg1 Mg 0.303 0.750 0.864 1
B1 B 0.005 0.250 0.961 1

# GGA-PBE LaMgB, relaxed
# **Energy of formation**: 0.1 eV/f.u.
# **Crystal system**: trigonal
# **Theoretical density**: 4.22 Mg/m³
data_LaMgB
_chemical_formula_sum 'La6 Mg6 B6'
_cell_length_a 4.7748
_cell_length_b 4.7748
_cell_length_c 20.8057
_cell_angle_alpha 90.00
_cell_angle_beta 90.00
_cell_angle_gamma 120.00
_symmetry_space_group_name_H-M 'R -3 m'
_symmetry_Int_Tables_number 166
_symmetry_space_group_name_Hall '-R 3 2"'
loop_
_atom_site_label
_atom_site_type_symbol
_atom_site_fract_x
_atom_site_fract_y
_atom_site_fract_z
_atom_site_occupancy
La1 La 0.0000 0.0000 0.1102 1
Mg1 Mg 0.0000 0.0000 0.3493 1
B1 B 0.0000 0.0000 0.4623 1

Question: Which value of energy of formation does entry 9 give?
Answer: -0.2 eV/f.u.

Question: What is the energy of formation in the tenth record?
Answer: -0.3 eV/f.u.

Question: Which value of theoretical density does entry 2 give?
Answer: 4.30 Mg/m³